[1]
An optimized crystal structure of GeBiTe2, computed with PBE.

Computed properties:
- Volume: 120.38 Å³/cell
- Symmetry: R3m
- Formation energy without anion corrections: -0.02 eV/atom
- Raw total energy: -3.71 eV/atom

abc: 4.1592 4.1592 8.3864
angles: 75.64 75.64 60.00
Closest atoms and distances in Å follow each position.
Element x y z (fractional)
Ge  0.6657  0.6657  0.0030  6 Te 2.95-3.03
Bi  0.4971  0.4971  0.5087  6 Te 3.20-3.36
Te  0.0759  0.0759  0.7724  3 Ge 3.03, 3 Bi 3.20
Te  0.2614  0.2614  0.2158  3 Ge 2.95

[2]
An optimized crystal structure of Cs2TmHg2Te4, computed with PBE.

Computed properties:
- Volume: 345.93 Å³/cell
- Symmetry: C2/m
- Formation energy without anion corrections: -0.80 eV/atom
- Raw total energy: -2.95 eV/atom

abc: 4.5335 9.2689 9.1859
angles: 111.64 104.29 90.00
Closest atoms and distances in Å follow each position.
Element x y z (fractional)
Te  0.8193  0.7927  0.6385  2 Hg 2.98, 1 Tm 3.06
Te  0.4831  0.2164  0.9663  1 Hg 2.92, 2 Tm 3.12
Te  0.5169  0.7836  0.0337  1 Hg 2.92, 2 Tm 3.12
Te  0.1807  0.2073  0.3615  2 Hg 2.98, 1 Tm 3.06
Cs  0.1303  0.5799  0.2607  7 Te 3.89-4.08, 3 Hg 4.01-4.30, 1 Cs 4.30
Cs  0.8697  0.4201  0.7393  7 Te 3.89-4.08, 3 Hg 4.01-4.30, 1 Cs 4.30
Tm  0.0000  0.0000  0.0000  6 Te 3.06-3.12
Hg  0.3140  0.9976  0.6281  3 Te 2.92-2.98, 2 Hg 3.23
Hg  0.6860  0.0024  0.3719  3 Te 2.92-2.98, 2 Hg 3.23